# 1
First-principles (PBE) data for TbPuTl6 after structural relaxation, as listed in Alexandria via LeMat-Bulk.

Output
VASP energy: -34.28 eV per cell
crystal system: tetragonal

Cell: 4.771 4.771 9.580 Å, 90.00 90.00 90.00°
Space group P4/mmm (No. 123)
Inequivalent atoms, fractional coordinates:
Tb 0.000 0.000 0.000 [1 per cell]
Pu 0.000 0.000 0.500 [1 per cell]
Tl 0.000 0.500 0.250 [4 per cell]
Tl 0.500 0.500 0.000 [1 per cell]
Tl 0.500 0.500 0.500 [1 per cell]


# 2
First-principles (PBE) data for CeSmMgTc after structural relaxation, as listed in Alexandria via LeMat-Bulk.

Output
VASP energy: -89.11 eV per cell
crystal system: cubic

Cell: 7.222 7.222 7.222 Å, 90.00 90.00 90.00°
Space group F-43m (No. 216)
Inequivalent atoms, fractional coordinates:
Ce 0.000 0.000 0.000 [4 per cell]
Sm 0.000 0.000 0.500 [4 per cell]
Mg 0.250 0.250 0.250 [4 per cell]
Tc 0.250 0.250 0.750 [4 per cell]


Q: Which of these has the lowest VASP energy?
A: CeSmMgTc


Please write out number 1 again, unchanged.
First-principles (PBE) data for TbPuTl6 after structural relaxation, as listed in Alexandria via LeMat-Bulk.

Output
VASP energy: -34.28 eV per cell
crystal system: tetragonal

Cell: 4.771 4.771 9.580 Å, 90.00 90.00 90.00°
Space group P4/mmm (No. 123)
Inequivalent atoms, fractional coordinates:
Tb 0.000 0.000 0.000 [1 per cell]
Pu 0.000 0.000 0.500 [1 per cell]
Tl 0.000 0.500 0.250 [4 per cell]
Tl 0.500 0.500 0.000 [1 per cell]
Tl 0.500 0.500 0.500 [1 per cell]


Q: VASP energy of number 1 (TbPuTl6)?
A: -34.28 eV per cell


Q: Which value of VASP energy does entry 2 give?
A: -89.11 eV per cell